# HfAsIrO GGA-PBE optimized geometry
# Energy relative to the lowest polymorph listed for this composition   486 meV per atom
# M_tot   0.00 μB per formula unit
data_HfAsIrO
_chemical_formula_sum 'Hf2 As2 Ir2 O2'
_symmetry_space_group_name_H-M 'P 4/n m m'
_symmetry_Int_Tables_number 129
_cell_length_a 5.575
_cell_length_b 5.575
_cell_length_c 4.417
_cell_angle_alpha 90.00
_cell_angle_beta 90.00
_cell_angle_gamma 90.00
loop_
_symmetry_equiv_pos_as_xyz
'x,y,z'
'-x,-y,-z'
'-y+1/2,x,z'
'y+1/2,-x,-z'
'-x+1/2,-y+1/2,z'
'x+1/2,y+1/2,-z'
'y,-x+1/2,z'
'-y,x+1/2,-z'
'x+1/2,-y,-z'
'-x+1/2,y,z'
'-y,-x,-z'
'y,x,z'
'-x,y+1/2,-z'
'x,-y+1/2,z'
'y+1/2,x+1/2,-z'
'-y+1/2,-x+1/2,z'
loop_
_atom_site_label
_atom_site_type_symbol
_atom_site_fract_x
_atom_site_fract_y
_atom_site_fract_z
Hf1 Hf 0.250 0.750 0.000
As1 As 0.250 0.250 0.493
Ir1 Ir 0.250 0.250 0.993
O1 O 0.250 0.750 0.500